! BaSr7Fe8O24, optimized geometry, DFT GGA+U; values from VASP
&SYSTEM
  ibrav = 0, nat = 40, ntyp = 4
/
ATOMIC_SPECIES
Ba 137.33 Ba.upf
Sr 87.62 Sr.upf
Fe 55.84 Fe.upf
O 16.00 O.upf
ATOMIC_POSITIONS angstrom
Ba 0.0000 0.0000 0.0000
Sr 0.0000 0.0000 3.9296
Sr 0.0000 3.9296 0.0000
Sr 0.0000 3.9296 3.9296
Sr 3.9296 0.0000 0.0000
Sr 3.9296 0.0000 3.9296
Sr 3.9296 3.9296 0.0000
Sr 3.9296 3.9296 3.9296
Fe 1.9731 1.9731 1.9731
Fe 1.9731 1.9731 5.8860
Fe 1.9731 5.8860 1.9731
Fe 1.9731 5.8860 5.8860
Fe 5.8860 1.9731 1.9731
Fe 5.8860 1.9731 5.8860
Fe 5.8860 5.8860 1.9731
Fe 5.8860 5.8860 5.8860
O 0.0000 1.9974 1.9974
O 0.0000 1.9974 5.8617
O 0.0000 5.8617 1.9974
O 0.0000 5.8617 5.8617
O 1.9746 1.9746 3.9296
O 1.9746 3.9296 1.9746
O 1.9746 3.9296 5.8845
O 1.9746 5.8845 3.9296
O 1.9974 0.0000 1.9974
O 1.9974 0.0000 5.8617
O 1.9974 1.9974 0.0000
O 1.9974 5.8617 0.0000
O 3.9296 1.9746 1.9746
O 3.9296 1.9746 5.8845
O 3.9296 5.8845 1.9746
O 3.9296 5.8845 5.8845
O 5.8617 0.0000 1.9974
O 5.8617 0.0000 5.8617
O 5.8617 1.9974 0.0000
O 5.8617 5.8617 0.0000
O 5.8845 1.9746 3.9296
O 5.8845 3.9296 1.9746
O 5.8845 3.9296 5.8845
O 5.8845 5.8845 3.9296
CELL_PARAMETERS angstrom
7.8591 0.0000 0.0000
0.0000 7.8591 0.0000
0.0000 0.0000 7.8591
! * energy: -6.3504 eV/atom